Record 1
This record from Alexandria via LeMat-Bulk describes an optimized crystal structure of CsRb2NiCl6. The functional is PBE-GGA.

a b c (Å): 7.216 10.685 9.064
angles (deg): 90.00 90.00 90.00
Element x y z (fractional)
Cs1 0.250 0.250 0.165
Cs2 0.750 0.750 0.835
Rb1 0.250 0.042 0.665
Rb2 0.250 0.458 0.665
Rb3 0.750 0.542 0.335
Rb4 0.750 0.958 0.335
Ni1 0.250 0.750 0.322
Ni2 0.750 0.250 0.678
Cl1 0.014 0.750 0.141
Cl2 0.023 0.750 0.516
Cl3 0.250 0.540 0.318
Cl4 0.250 0.960 0.318
Cl5 0.477 0.750 0.516
Cl6 0.486 0.750 0.141
Cl7 0.514 0.250 0.859
Cl8 0.523 0.250 0.484
Cl9 0.750 0.040 0.682
Cl10 0.750 0.460 0.682
Cl11 0.977 0.250 0.484
Cl12 0.986 0.250 0.859

Calculated values
Crystal system: orthorhombic
Mass density: 2.7 g/cm3
M_tot: 2.0 μB per cell
Uncorrected energy: -66.159 eV per cell

Record 2
This record from Alexandria via LeMat-Bulk describes an optimized crystal structure of Cs3RbNi2Cl8. The functional is PBE-GGA.

a b c (Å): 7.679 7.679 9.916
angles (deg): 90.00 90.00 120.00
Element x y z (fractional)
Cs1 0.000 0.000 0.000
Cs2 0.333 0.667 0.632
Cs3 0.667 0.333 0.368
Rb1 0.000 0.000 0.500
Ni1 0.333 0.667 0.194
Ni2 0.667 0.333 0.806
Cl1 0.183 0.366 0.301
Cl2 0.183 0.817 0.301
Cl3 0.333 0.667 0.972
Cl4 0.366 0.183 0.699
Cl5 0.634 0.817 0.301
Cl6 0.667 0.333 0.028
Cl7 0.817 0.183 0.699
Cl8 0.817 0.634 0.699

Calculated values
Crystal system: trigonal
Mass density: 2.9 g/cm3
M_tot: 4.0 μB per cell
Uncorrected energy: -48.654 eV per cell

Record 3
This record from Alexandria via LeMat-Bulk describes an optimized crystal structure of CsRbNiCl4. The functional is PBE-GGA.

a b c (Å): 6.888 7.351 9.868
angles (deg): 90.00 109.17 90.00
Element x y z (fractional)
Cs1 0.217 0.250 0.420
Cs2 0.783 0.750 0.580
Rb1 0.341 0.750 0.040
Rb2 0.659 0.250 0.960
Ni1 0.082 0.250 0.800
Ni2 0.918 0.750 0.200
Cl1 0.197 0.250 0.042
Cl2 0.239 0.750 0.357
Cl3 0.243 0.010 0.744
Cl4 0.243 0.490 0.744
Cl5 0.757 0.510 0.256
Cl6 0.757 0.990 0.256
Cl7 0.761 0.250 0.643
Cl8 0.803 0.750 0.958

Calculated values
Crystal system: monoclinic
Mass density: 2.9 g/cm3
M_tot: 4.0 μB per cell
Uncorrected energy: -49.217 eV per cell

Record 4
This record from Alexandria via LeMat-Bulk describes an optimized crystal structure of Cs2RbNiCl6. The functional is PBE-GGA.

a b c (Å): 15.643 15.643 15.643
angles (deg): 27.35 27.35 27.35
Element x y z (fractional)
Cs1 0.138 0.138 0.138
Cs2 0.306 0.306 0.306
Cs3 0.694 0.694 0.694
Cs4 0.862 0.862 0.862
Rb1 0.412 0.412 0.412
Rb2 0.588 0.588 0.588
Ni1 0.000 0.000 0.000
Ni2 0.500 0.500 0.500
Cl1 0.172 0.619 0.619
Cl2 0.179 0.179 0.734
Cl3 0.179 0.734 0.179
Cl4 0.266 0.821 0.821
Cl5 0.381 0.381 0.828
Cl6 0.381 0.828 0.381
Cl7 0.619 0.172 0.619
Cl8 0.619 0.619 0.172
Cl9 0.734 0.179 0.179
Cl10 0.821 0.266 0.821
Cl11 0.821 0.821 0.266
Cl12 0.828 0.381 0.381

Calculated values
Crystal system: trigonal
Mass density: 2.9 g/cm3
M_tot: 2.0 μB per cell
Uncorrected energy: -66.435 eV per cell

Record 5
This record from Alexandria via LeMat-Bulk describes an optimized crystal structure of Cs2RbNiCl6. The functional is PBE-GGA.

a b c (Å): 7.705 7.705 7.705
angles (deg): 60.00 60.00 60.00
Element x y z (fractional)
Cs1 0.250 0.250 0.250
Cs2 0.750 0.750 0.750
Rb1 0.000 0.000 0.000
Ni1 0.500 0.500 0.500
Cl1 0.287 0.287 0.713
Cl2 0.287 0.713 0.287
Cl3 0.287 0.713 0.713
Cl4 0.713 0.287 0.287
Cl5 0.713 0.287 0.713
Cl6 0.713 0.713 0.287

Calculated values
Crystal system: cubic
Mass density: 3.2 g/cm3
M_tot: 1.0 μB per cell
Uncorrected energy: -33.218 eV per cell

Record 6
This record from Alexandria via LeMat-Bulk describes an optimized crystal structure of CsNi2RhCl8. The functional is PBE-GGA.

a b c (Å): 10.522 10.522 10.522
angles (deg): 34.38 34.38 34.38
Element x y z (fractional)
Cs1 0.000 0.000 0.000
Ni1 0.232 0.232 0.232
Ni2 0.768 0.768 0.768
Rh1 0.500 0.500 0.500
Cl1 0.146 0.765 0.448
Cl2 0.235 0.552 0.854
Cl3 0.306 0.306 0.306
Cl4 0.448 0.146 0.765
Cl5 0.552 0.854 0.235
Cl6 0.694 0.694 0.694
Cl7 0.765 0.448 0.146
Cl8 0.854 0.235 0.552

Calculated values
Crystal system: trigonal
Mass density: 3.2 g/cm3
M_tot: 4.0 μB per cell
Uncorrected energy: -43.581 eV per cell

Look up the M_tot of the sixth one. 4.0 μB per cell

The lowest M_tot belongs to which entry? number 5

Repeat the third record exactly.
This record from Alexandria via LeMat-Bulk describes an optimized crystal structure of CsRbNiCl4. The functional is PBE-GGA.

a b c (Å): 6.888 7.351 9.868
angles (deg): 90.00 109.17 90.00
Element x y z (fractional)
Cs1 0.217 0.250 0.420
Cs2 0.783 0.750 0.580
Rb1 0.341 0.750 0.040
Rb2 0.659 0.250 0.960
Ni1 0.082 0.250 0.800
Ni2 0.918 0.750 0.200
Cl1 0.197 0.250 0.042
Cl2 0.239 0.750 0.357
Cl3 0.243 0.010 0.744
Cl4 0.243 0.490 0.744
Cl5 0.757 0.510 0.256
Cl6 0.757 0.990 0.256
Cl7 0.761 0.250 0.643
Cl8 0.803 0.750 0.958

Calculated values
Crystal system: monoclinic
Mass density: 2.9 g/cm3
M_tot: 4.0 μB per cell
Uncorrected energy: -49.217 eV per cell